Below is ReMo2P after structural relaxation, with properties calculated at the PBE level.

## Properties
ΔH_f (0 K)	-0.0105	eV per atom
calculated density	11.536	g cm⁻³
V	14.72	Å³/atom
final energy	-39.6	eV/cell

Lattice parameters (Å, degrees): 2.9053 4.0749 4.9739 90.00 90.00 90.00
With the nearest neighbours (Å) after each atom.
Space group Pmmm (No. 47)
Asymmetric unit:
Re 0.0000 0.0000 0.0000 x1  2 P 2.49
Mo 0.5000 0.5000 0.2579 x2  2 Mo 2.41-2.57
P 0.0000 0.0000 0.5000 x1  2 Re 2.49, 8 Mo 2.78

Below is ReMo2P after structural relaxation, with properties calculated at the PBE level.

## Properties
ΔH_f (0 K)	0.2142	eV per atom
calculated density	11.635	g cm⁻³
V	14.59	Å³/atom
final energy	-154.7	eV/cell

Lattice parameters (Å, degrees): 6.1580 6.1580 6.1580 90.00 90.00 90.00
With the nearest neighbours (Å) after each atom.
Space group F-43m (No. 216)
Asymmetric unit:
Re 0.0000 0.0000 0.0000 x4  4 P 2.67, 4 Mo 2.67
Mo 0.0000 0.0000 0.5000 x4  4 Mo 2.67, 4 P 2.67
Mo 0.2500 0.2500 0.2500 x4  4 Mo 2.67, 4 Re 2.67
P 0.2500 0.2500 0.7500 x4  4 Mo 2.67, 4 Re 2.67

Below is ReMoP2 after structural relaxation, with properties calculated at the PBE level.

## Properties
ΔH_f (0 K)	-0.2117	eV per atom
calculated density	10.762	g cm⁻³
V	13.27	Å³/atom
final energy	-34.9	eV/cell

Lattice parameters (Å, degrees): 2.9821 2.9821 5.9702 90.00 90.00 90.00
With the nearest neighbours (Å) after each atom.
Space group P4/mmm (No. 123)
Asymmetric unit:
Re 0.0000 0.0000 0.0000 x1  8 P 2.58
Mo 0.0000 0.0000 0.5000 x1  8 P 2.58
P 0.5000 0.5000 0.2497 x2  4 Re 2.58, 4 Mo 2.58

Below is ReMoP2 after structural relaxation, with properties calculated at the PBE level.

## Properties
ΔH_f (0 K)	0.2723	eV per atom
calculated density	8.456	g cm⁻³
V	16.89	Å³/atom
final energy	-66.0	eV/cell

Lattice parameters (Å, degrees): 3.1424 4.5960 9.3572 90.00 90.00 90.00
With the nearest neighbours (Å) after each atom.
Space group Cmm2 (No. 35)
Asymmetric unit:
Re 0.0000 0.0000 0.0000 x2  2 P 2.38
Mo 0.0000 0.5000 0.2476 x2  2 P 2.43
P 0.0000 0.0000 0.4458 x2  2 Mo 2.43
P 0.0000 0.5000 0.8092 x2  2 Re 2.38

Below is ReMoP2 after structural relaxation, with properties calculated at the PBE level.

## Properties
ΔH_f (0 K)	-0.0498	eV per atom
calculated density	10.178	g cm⁻³
V	14.03	Å³/atom
final energy	-68.6	eV/cell

Lattice parameters (Å, degrees): 7.6263 2.9418 5.1383 90.00 103.10 90.00
With the nearest neighbours (Å) after each atom.
Space group C2/m (No. 12)
Asymmetric unit:
Re 0.0000 0.0000 0.0000 x2  6 P 2.49-2.50
Mo 0.0000 0.5000 0.5000 x2  6 P 2.55
P 0.2478 0.5000 0.2386 x4  3 Re 2.49-2.50, 3 Mo 2.55

Below is ReMoP2 after structural relaxation, with properties calculated at the PBE level.

## Properties
ΔH_f (0 K)	-0.0908	eV per atom
calculated density	9.834	g cm⁻³
V	14.53	Å³/atom
final energy	-103.4	eV/cell

Lattice parameters (Å, degrees): 2.9968 2.9968 22.4116 90.00 90.00 120.00
With the nearest neighbours (Å) after each atom.
Space group R3m (No. 160, hexagonal axes)
Asymmetric unit:
Re 0.0000 0.0000 0.0000 x3  3 P 2.39
Mo 0.0000 0.0000 0.7666 x3  3 P 2.42
P 0.0000 0.0000 0.2595 x3  3 Re 2.39, 3 P 2.55
P 0.0000 0.0000 0.5091 x3  3 Mo 2.42, 3 P 2.55

Below is ReMo2P after structural relaxation, with properties calculated at the PBE level.

## Properties
ΔH_f (0 K)	0.2867	eV per atom
calculated density	11.567	g cm⁻³
V	14.68	Å³/atom
final energy	-38.4	eV/cell

Lattice parameters (Å, degrees): 3.6669 3.6669 4.3674 90.00 90.00 90.00
With the nearest neighbours (Å) after each atom.
Space group P4/mmm (No. 123)
Asymmetric unit:
Re 0.0000 0.0000 0.0000 x1  4 P 2.59, 8 Mo 2.85
Mo 0.0000 0.5000 0.5000 x2  4 Mo 2.59, 4 P 2.85, 4 Re 2.85
P 0.5000 0.5000 0.0000 x1  4 Re 2.59, 8 Mo 2.85

Below is ReMoP4 after structural relaxation, with properties calculated at the PBE level.

## Properties
ΔH_f (0 K)	0.8757	eV per atom
calculated density	8.176	g cm⁻³
V	13.74	Å³/atom
final energy	-158.7	eV/cell

Lattice parameters (Å, degrees): 6.9095 6.9095 6.9095 90.00 90.00 90.00
With the nearest neighbours (Å) after each atom.
Space group F-43m (No. 216)
Asymmetric unit:
Re 0.0000 0.0000 0.0000 x4  12 P 2.87, 4 Mo 2.99
Mo 0.2500 0.2500 0.7500 x4  12 P 2.86, 4 Re 2.99
P 0.1247 0.1247 0.3753 x16  6 P 2.44-2.45